[1]
A relaxed BeZnCSO crystal, computed with PBE.

Summary:
**E_form (uncorrected)**: -0.313 eV/atom
**Relative energy among the computed polymorphs**: 205 meV/atom
**DFT total energy**: -4.97 eV per atom

Cell: 2.6601 3.9631 6.2126 Å, 77.68 85.08 75.12°
Sites, in units of the cell vectors:
Be (0.0000, 0.0000, 0.0000)
Zn (0.0876, 0.6522, 0.4140)
C (0.6256, 0.6650, 0.1253)
S (0.0834, 0.0725, 0.6414)
O (0.7607, 0.3503, 0.0776)

[2]
A relaxed NdSmHf crystal, computed with PBE.

Summary:
**Formation enthalpy at 0 K**: 181 meV/atom
**Relative energy among the computed polymorphs**: 46 meV/atom
**DFT total energy**: -6.30 eV per atom

Cell: 3.4380 3.4380 8.6733 Å, 90.00 90.00 120.00°
Sites, in units of the cell vectors:
Nd (0.0000, 0.0000, 0.0000)
Sm (0.6667, 0.3333, 0.3857)
Hf (0.3333, 0.6667, 0.6904)

[3]
A relaxed Sm2Cd3Pd7 crystal, computed with PBE.

Summary:
**Formation enthalpy at 0 K**: -415 meV/atom
**DFT total energy**: -4.46 eV per atom

Cell: 4.7913 4.5826 11.5208 Å, 90.00 101.92 90.00°
Sites, in units of the cell vectors:
Sm (0.1508, 0.0000, 0.3006)
Sm (0.8492, 0.0000, 0.6994)
Cd (0.0000, 0.0000, 0.0000)
Cd (0.3555, 0.5000, 0.7124)
Cd (0.6445, 0.5000, 0.2876)
Pd (0.0705, 0.5000, 0.1403)
Pd (0.2826, 0.0000, 0.5652)
Pd (0.4300, 0.0000, 0.8597)
Pd (0.5000, 0.5000, 0.0000)
Pd (0.5700, 0.0000, 0.1403)
Pd (0.7174, 0.0000, 0.4348)
Pd (0.9295, 0.5000, 0.8597)

[4]
A relaxed Mg2Bi2Pd crystal, computed with PBE.

Summary:
**Formation enthalpy at 0 K**: -95 meV/atom
**Relative energy among the computed polymorphs**: 234 meV/atom
**DFT total energy**: -3.32 eV per atom

Cell: 7.4892 7.4892 4.6208 Å, 90.00 90.00 90.00°
Sites, in units of the cell vectors:
Mg (0.1542, 0.3458, 0.0000)
Mg (0.3458, 0.8458, 0.0000)
Mg (0.6542, 0.1542, 0.0000)
Mg (0.8458, 0.6542, 0.0000)
Bi (0.1579, 0.6579, 0.5000)
Bi (0.3421, 0.1579, 0.5000)
Bi (0.6579, 0.8421, 0.5000)
Bi (0.8421, 0.3421, 0.5000)
Pd (0.0000, 0.0000, 0.5000)
Pd (0.5000, 0.5000, 0.5000)

Please write out number 4 again, unchanged.
A relaxed Mg2Bi2Pd crystal, computed with PBE.

Summary:
**Formation enthalpy at 0 K**: -95 meV/atom
**Relative energy among the computed polymorphs**: 234 meV/atom
**DFT total energy**: -3.32 eV per atom

Cell: 7.4892 7.4892 4.6208 Å, 90.00 90.00 90.00°
Sites, in units of the cell vectors:
Mg (0.1542, 0.3458, 0.0000)
Mg (0.3458, 0.8458, 0.0000)
Mg (0.6542, 0.1542, 0.0000)
Mg (0.8458, 0.6542, 0.0000)
Bi (0.1579, 0.6579, 0.5000)
Bi (0.3421, 0.1579, 0.5000)
Bi (0.6579, 0.8421, 0.5000)
Bi (0.8421, 0.3421, 0.5000)
Pd (0.0000, 0.0000, 0.5000)
Pd (0.5000, 0.5000, 0.5000)

What is the DFT total energy in the first record?
-4.97 eV per atom

What is the DFT total energy in the first record?
-4.97 eV per atom